No. 1
{
  "formula": "TiWAu2",
  "functional": "PBE",
  "state": "relaxed",
  "cell": [[4.317, -1.139, 1.099], [1.172, -0.586, 4.407], [0.932, -4.212, 1.590]],
  "species": ["Au", "Au", "W", "Ti"],
  "fractional_positions": [[0.250, 0.250, 0.250], [0.750, 0.750, 0.750], [0.500, 0.500, 0.500], [0.000, 0.000, 0.000]],
  "ef_ev_per_atom": 0.29,
  "crystal_system": "cubic",
  "space_group": "Fm-3m (225)",
  "energy_ev_per_cell": -26.25
}

No. 2
{
  "formula": "TiW2Au",
  "functional": "PBE",
  "state": "relaxed",
  "cell": [[0.000, 3.207, 3.207], [3.207, 0.000, 3.207], [3.207, 3.207, 0.000]],
  "species": ["Au", "W", "W", "Ti"],
  "fractional_positions": [[0.500, 0.500, 0.500], [0.250, 0.250, 0.250], [0.750, 0.750, 0.750], [0.000, 0.000, 0.000]],
  "ef_ev_per_atom": 0.50,
  "crystal_system": "cubic",
  "space_group": "Fm-3m (225)",
  "energy_ev_per_cell": -35.06
}

No. 3
{
  "formula": "TiW2Au",
  "functional": "PBE",
  "state": "relaxed",
  "cell": [[-2.915, 1.545, -1.895], [-0.597, -3.309, -1.780], [-7.907, -3.648, 5.368]],
  "species": ["Au", "Au", "W", "W", "W", "W", "Ti", "Ti"],
  "fractional_positions": [[0.000, 0.000, 0.000], [0.750, 0.250, 0.500], [0.611, 0.125, 0.250], [0.139, 0.625, 0.250], [0.375, 0.389, 0.750], [0.875, 0.861, 0.750], [0.500, 0.500, 0.000], [0.250, 0.750, 0.500]],
  "ef_ev_per_atom": 0.57,
  "crystal_system": "tetragonal",
  "space_group": "I-42d (122)",
  "energy_ev_per_cell": -69.59
}

No. 4
{
  "formula": "Ti4WAu3",
  "functional": "PBE",
  "state": "relaxed",
  "cell": [[3.188, 0.000, 0.000], [0.000, 3.188, 0.000], [0.000, 0.000, 13.456]],
  "species": ["Au", "Au", "Au", "W", "Ti", "Ti", "Ti", "Ti"],
  "fractional_positions": [[0.500, 0.500, 0.240], [0.500, 0.500, 0.500], [0.500, 0.500, 0.760], [0.500, 0.500, 0.000], [0.000, 0.000, 0.888], [0.000, 0.000, 0.112], [0.000, 0.000, 0.370], [0.000, 0.000, 0.630]],
  "ef_ev_per_atom": -0.29,
  "crystal_system": "tetragonal",
  "space_group": "P4/mmm (123)",
  "energy_ev_per_cell": -56.68
}

No. 5
{
  "formula": "TiW2Au2",
  "functional": "PBE",
  "state": "relaxed",
  "cell": [[6.791, 0.000, 0.000], [0.000, 6.791, 0.000], [0.000, 0.000, 3.808]],
  "species": ["Au", "Au", "Au", "Au", "W", "W", "W", "W", "Ti", "Ti"],
  "fractional_positions": [[0.359, 0.859, 0.000], [0.859, 0.641, 0.000], [0.641, 0.141, 0.000], [0.141, 0.359, 0.000], [0.156, 0.656, 0.500], [0.656, 0.844, 0.500], [0.844, 0.344, 0.500], [0.344, 0.156, 0.500], [0.000, 0.000, 0.000], [0.500, 0.500, 0.000]],
  "ef_ev_per_atom": 0.59,
  "crystal_system": "tetragonal",
  "space_group": "P4/mbm (127)",
  "energy_ev_per_cell": -74.79
}

No. 6
{
  "formula": "TiWAu2",
  "functional": "PBE",
  "state": "relaxed",
  "cell": [[-2.183, -0.291, 7.062], [-0.611, -7.355, -0.492], [1.148, -4.086, 4.061]],
  "species": ["Au", "Au", "Au", "Au", "W", "W", "Ti", "Ti"],
  "fractional_positions": [[0.627, 0.125, 0.250], [0.123, 0.625, 0.250], [0.375, 0.373, 0.750], [0.875, 0.877, 0.750], [0.000, 0.000, 0.000], [0.750, 0.250, 0.500], [0.500, 0.500, 0.000], [0.250, 0.750, 0.500]],
  "ef_ev_per_atom": 0.52,
  "crystal_system": "tetragonal",
  "space_group": "I-42d (122)",
  "energy_ev_per_cell": -50.63
}

No. 7
{
  "formula": "TiW2Au2",
  "functional": "PBE",
  "state": "relaxed",
  "cell": [[-2.339, -0.133, -2.803], [2.717, -1.018, -2.219], [-1.127, -7.157, -1.102]],
  "species": ["Au", "Au", "W", "W", "Ti"],
  "fractional_positions": [[0.405, 0.405, 0.190], [0.595, 0.595, 0.810], [0.750, 0.250, 0.500], [0.250, 0.750, 0.500], [0.000, 0.000, 0.000]],
  "ef_ev_per_atom": 0.40,
  "crystal_system": "tetragonal",
  "space_group": "I4/mmm (139)",
  "energy_ev_per_cell": -38.37
}

No. 8
{
  "formula": "YTiW2Au",
  "functional": "PBE",
  "state": "relaxed",
  "cell": [[-2.056, 1.625, -4.159], [-0.837, -4.933, -1.513], [-4.396, 0.071, 2.201]],
  "species": ["Y", "Au", "W", "W", "Ti"],
  "fractional_positions": [[0.000, 0.500, 0.000], [0.000, 0.000, 0.000], [0.000, 0.000, 0.500], [0.500, 0.000, 0.000], [0.500, 0.500, 0.500]],
  "ef_ev_per_atom": 1.81,
  "crystal_system": "tetragonal",
  "space_group": "P4/mmm (123)",
  "energy_ev_per_cell": -34.51
}

No. 9
{
  "formula": "YTiAu2",
  "functional": "PBE",
  "state": "relaxed",
  "cell": [[3.392, 0.000, 0.000], [0.000, 3.392, 0.000], [0.000, 0.000, 7.043]],
  "species": ["Y", "Au", "Au", "Ti"],
  "fractional_positions": [[0.500, 0.500, 0.500], [0.000, 0.000, 0.786], [0.000, 0.000, 0.214], [0.500, 0.500, 0.000]],
  "ef_ev_per_atom": -0.55,
  "crystal_system": "tetragonal",
  "space_group": "P4/mmm (123)",
  "energy_ev_per_cell": -23.10
}

No. 10
{
  "formula": "YTi2Au2",
  "functional": "PBE",
  "state": "relaxed",
  "cell": [[3.970, 0.000, 0.000], [0.000, 3.970, 0.000], [1.985, 1.985, 6.626]],
  "species": ["Y", "Au", "Au", "Ti", "Ti"],
  "fractional_positions": [[0.000, 0.000, 0.000], [0.395, 0.395, 0.210], [0.605, 0.605, 0.790], [0.750, 0.250, 0.500], [0.250, 0.750, 0.500]],
  "ef_ev_per_atom": -0.36,
  "crystal_system": "tetragonal",
  "space_group": "I4/mmm (139)",
  "energy_ev_per_cell": -30.60
}

No. 11
{
  "formula": "Y2TiAu2",
  "functional": "PBE",
  "state": "relaxed",
  "cell": [[8.261, 0.000, 0.000], [0.000, 8.261, 0.000], [0.000, 0.000, 3.451]],
  "species": ["Y", "Y", "Y", "Y", "Au", "Au", "Au", "Au", "Ti", "Ti"],
  "fractional_positions": [[0.343, 0.843, 0.000], [0.843, 0.657, 0.000], [0.657, 0.157, 0.000], [0.157, 0.343, 0.000], [0.141, 0.641, 0.500], [0.641, 0.859, 0.500], [0.859, 0.359, 0.500], [0.359, 0.141, 0.500], [0.000, 0.000, 0.000], [0.500, 0.500, 0.000]],
  "ef_ev_per_atom": -0.33,
  "crystal_system": "tetragonal",
  "space_group": "P4/mbm (127)",
  "energy_ev_per_cell": -58.01
}

No. 12
{
  "formula": "YTiAu2",
  "functional": "PBE",
  "state": "relaxed",
  "cell": [[0.000, 3.458, 3.458], [3.458, 0.000, 3.458], [3.458, 3.458, 0.000]],
  "species": ["Y", "Au", "Au", "Ti"],
  "fractional_positions": [[0.500, 0.500, 0.500], [0.250, 0.250, 0.250], [0.750, 0.750, 0.750], [0.000, 0.000, 0.000]],
  "ef_ev_per_atom": -0.50,
  "crystal_system": "cubic",
  "space_group": "Fm-3m (225)",
  "energy_ev_per_cell": -22.92
}